[1]
The following is a PBE calculation of a relaxed TbCe2Ir3 crystal, from Alexandria via LeMat-Bulk.

Summary:
magnetic moment: 0.0 μB per formula unit
electronic total energy: -7.9968 eV/atom
D(E_F): 5.12 states/eV/f.u.
formation enthalpy at 0 K: -0.82 eV per atom

Unit cell a=12.985 b=7.494 c=5.713 alpha=90.00 beta=90.00 gamma=90.00
Space group Cmcm (No. 63)
Inequivalent atoms, fractional coordinates:
Tb  0.000  0.159  0.250 [4 per cell]
Ce  0.163  0.329  0.750 [8 per cell]
Ir  0.000  0.500  0.000 [4 per cell]
Ir  0.173  0.000  0.000 [8 per cell]



[2]
The following is a PBE calculation of a relaxed Sm4Dy2ErSc crystal, from Alexandria via LeMat-Bulk.

Summary:
magnetic moment: 0.0 μB per formula unit
electronic total energy: -4.8424 eV/atom
D(E_F): 11.25 states/eV/f.u.
formation enthalpy at 0 K: 0.03 eV per atom

Unit cell a=5.043 b=5.043 c=9.903 alpha=90.00 beta=90.00 gamma=90.00
Space group P4/mmm (No. 123)
Inequivalent atoms, fractional coordinates:
Sm  0.000  0.500  0.245 [4 per cell]
Dy  0.000  0.000  0.000 [1 per cell]
Dy  0.500  0.500  0.500 [1 per cell]
Er  0.000  0.000  0.500 [1 per cell]
Sc  0.500  0.500  0.000 [1 per cell]



[3]
The following is a PBE calculation of a relaxed AlSb4Mo crystal, from Alexandria via LeMat-Bulk.

Summary:
uncorrected formation energy: 90.4 kJ per mole of atoms
magnetic moment: 4.3 μB per formula unit
electronic total energy: -4.2399 eV/atom
D(E_F): 4.23 states/eV/f.u.

Unit cell a=8.732 b=8.732 c=8.732 alpha=90.00 beta=90.00 gamma=90.00
Space group F-43m (No. 216)
Inequivalent atoms, fractional coordinates:
Al  0.000  0.000  0.000 [4 per cell]
Sb  0.126  0.126  0.374 [16 per cell]
Mo  0.250  0.250  0.750 [4 per cell]



[4]
The following is a PBE calculation of a relaxed K2SbTe crystal, from Alexandria via LeMat-Bulk.

Summary:
uncorrected formation energy: -52.3 kJ per mole of atoms
magnetic moment: 0.0 μB per formula unit
electronic total energy: -2.9065 eV/atom
energy above the most stable polymorph in this dataset: 0 meV/atom
D(E_F): 1.09 states/eV/f.u.

Unit cell a=13.302 b=4.203 c=5.920 alpha=90.00 beta=107.45 gamma=90.00
Space group Cm (No. 8)
Inequivalent atoms, fractional coordinates:
K  0.000  0.000  0.000 [2 per cell]
K  0.244  0.500  0.533 [2 per cell]
Sb  0.463  0.000  0.462 [2 per cell]
Te  0.283  0.000  0.074 [2 per cell]



[5]
The following is a PBE calculation of a relaxed MgZn2P crystal, from Alexandria via LeMat-Bulk.

Summary:
magnetic moment: 0.0 μB per formula unit
electronic total energy: -2.4365 eV/atom
D(E_F): 1.79 states/eV/f.u.
formation enthalpy at 0 K: -0.05 eV per atom

Unit cell a=3.791 b=3.791 c=4.587 alpha=90.00 beta=90.00 gamma=90.00
Space group P4/mmm (No. 123)
Inequivalent atoms, fractional coordinates:
Mg  0.000  0.000  0.000 [1 per cell]
Zn  0.000  0.500  0.500 [2 per cell]
P  0.500  0.500  0.000 [1 per cell]



[6]
The following is a PBE calculation of a relaxed ZrAl2Hg2 crystal, from Alexandria via LeMat-Bulk.

Summary:
magnetic moment: 0.0 μB per formula unit
electronic total energy: -3.2456 eV/atom
energy above the most stable polymorph in this dataset: 69 meV/atom
D(E_F): 2.23 states/eV/f.u.
formation enthalpy at 0 K: 0.08 eV per atom

Unit cell a=4.180 b=4.180 c=11.691 alpha=90.00 beta=90.00 gamma=90.00
Space group I4/mmm (No. 139)
Inequivalent atoms, fractional coordinates:
Zr  0.000  0.000  0.000 [2 per cell]
Al  0.000  0.000  0.398 [4 per cell]
Hg  0.000  0.500  0.250 [4 per cell]



[7]
The following is a PBE calculation of a relaxed Pr6HoCd crystal, from Alexandria via LeMat-Bulk.

Summary:
magnetic moment: 0.0 μB per formula unit
electronic total energy: -4.3178 eV/atom
energy above the most stable polymorph in this dataset: 0 meV/atom
D(E_F): 9.31 states/eV/f.u.
formation enthalpy at 0 K: -0.05 eV per atom

Unit cell a=5.075 b=5.075 c=10.338 alpha=90.00 beta=90.00 gamma=90.00
Space group P4/mmm (No. 123)
Inequivalent atoms, fractional coordinates:
Pr  0.000  0.000  0.000 [1 per cell]
Pr  0.000  0.000  0.500 [1 per cell]
Pr  0.000  0.500  0.246 [4 per cell]
Ho  0.500  0.500  0.500 [1 per cell]
Cd  0.500  0.500  0.000 [1 per cell]



| no. | mass density (g/cm³) |
| --- | --- |
| 1 | 12.1 |
| 2 | 7.5 |
| 3 | 6.1 |
| 4 | 3.4 |
| 5 | 4.7 |
| 6 | 8.9 |
| 7 | 7.0 |